RbMnCrS3: relaxed, PBE.

abc: 8.4966 3.7523 9.4504
angles: 90.00 113.34 90.00
Last column: nearest neighbours and their distance in Å.
Space group P2_1/m (No. 11)
Unique sites:
Rb: 0.2259 0.2500 0.2430  7 S 3.32-3.56
Mn: 0.0839 0.2500 0.6075  4 S 2.29-2.37
Cr: 0.3343 0.7500 0.8641  5 S 2.37-2.50
S: 0.1397 0.2500 0.8648  1 Mn 2.29, 2 Cr 2.50
S: 0.2111 0.7500 0.5577  3 Mn 2.30-2.37
S: 0.4813 0.7500 0.1354  3 Cr 2.37-2.44

Calculated values
E_form (uncorrected): -761 meV per atom
V: 277 Å³ per cell
N(E_F): 3.8 states/eV/cell
Mass density: 3465 kg/m³
Magnetization: 13.7 Bohr magnetons per cell